VASP calculation (PBE with a Hubbard U) on an optimized crystal structure of FeNi2WO.

Output
Crystal system: tetragonal
Magnetic moment: 6.44 μB per formula unit
Uncorrected energy: -3.3796 eV/atom
Space group: P4/mmm

a = 4.5212 Å, b = 4.5212 Å, c = 3.5875 Å
α = 90.00°, β = 90.00°, γ = 90.00°
Atoms (fractional coordinates):
Fe (0.0000, 0.0000, 0.0000)
Ni (0.0000, 0.5000, 0.0000)
Ni (0.5000, 0.0000, 0.0000)
W (0.5000, 0.5000, 0.5000)
O (0.0000, 0.0000, 0.5000)